First-principles (SCAN) data for a crystal of Mg2AgS2 relaxed with PBEsol, as listed in the Alexandria database.

a b c (Å): 4.352 4.352 6.314
angles (deg): 110.16 110.16 90.00
Positions (direct):
S1 0.357 0.357 0.715
Mg1 0.250 0.750 0.500
S2 0.643 0.643 0.285
Mg2 0.750 0.250 0.500
Ag1 0.000 0.000 0.000

Values from the calculation:
Calculated density: 3.5 Mg/m³
M_tot: 0.000 μB/atom
Uncorrected formation energy: -3.42 eV per formula unit